Entry 1:
# Sc3Br4 PBE relaxed
# DOS(E_F) (states/eV per atom): 0.817
data_Sc3Br4
_chemical_formula_sum 'Sc3 Br4'
_cell_length_a 6.0106
_cell_length_b 6.0106
_cell_length_c 5.6428
_cell_angle_alpha 90.00
_cell_angle_beta 90.00
_cell_angle_gamma 120.00
_symmetry_space_group_name_H-M 'P 6/m m m'
_symmetry_Int_Tables_number 191
_symmetry_space_group_name_Hall '-P 6 2'
loop_
_atom_site_label
_atom_site_type_symbol
_atom_site_fract_x
_atom_site_fract_y
_atom_site_fract_z
_atom_site_occupancy
Sc1 Sc 0.0000 0.5000 0.0000 1
Br1 Br 0.0000 0.0000 0.2501 1
Br2 Br 0.3333 0.6667 0.5000 1


Entry 2:
# Sc3Br PBE relaxed
# DOS(E_F) (states/eV per atom): 1.042
data_Sc3Br
_chemical_formula_sum 'Sc3 Br1'
_cell_length_a 4.5536
_cell_length_b 4.5536
_cell_length_c 4.5536
_cell_angle_alpha 90.00
_cell_angle_beta 90.00
_cell_angle_gamma 90.00
_symmetry_space_group_name_H-M 'P m -3 m'
_symmetry_Int_Tables_number 221
_symmetry_space_group_name_Hall '-P 4 2 3'
loop_
_atom_site_label
_atom_site_type_symbol
_atom_site_fract_x
_atom_site_fract_y
_atom_site_fract_z
_atom_site_occupancy
Sc1 Sc 0.0000 0.0000 0.5000 1
Br1 Br 0.5000 0.5000 0.5000 1


Entry 3:
VASP calculation (PBE) on an optimized crystal structure of ScBr3.

```
data_ScBr3
_chemical_formula_sum 'Sc1 Br3'
_cell_length_a 4.5222
_cell_length_b 4.5222
_cell_length_c 6.8808
_cell_angle_alpha 90.00
_cell_angle_beta 90.00
_cell_angle_gamma 90.00
_symmetry_space_group_name_H-M 'P 4 m m'
_symmetry_Int_Tables_number 99
loop_
_symmetry_equiv_pos_as_xyz
'x,y,z'
'-y,x,z'
'-x,-y,z'
'y,-x,z'
'-x,y,z'
'y,x,z'
'x,-y,z'
'-y,-x,z'
loop_
_atom_site_label
_atom_site_type_symbol
_atom_site_fract_x
_atom_site_fract_y
_atom_site_fract_z
_atom_site_occupancy
Sc1 Sc 0.0000 0.0000 0.0000 1
Br1 Br 0.0000 0.5000 0.8011 1
Br2 Br 0.5000 0.5000 0.2277 1
```


Entry 4:
VASP calculation (PBE) on an optimized crystal structure of ScBr.

```
data_ScBr
_chemical_formula_sum 'Sc2 Br2'
_cell_length_a 3.4992
_cell_length_b 3.4992
_cell_length_c 8.7854
_cell_angle_alpha 90.00
_cell_angle_beta 90.00
_cell_angle_gamma 90.00
_symmetry_space_group_name_H-M 'P 4/n m m'
_symmetry_Int_Tables_number 129
loop_
_symmetry_equiv_pos_as_xyz
'x,y,z'
'-x,-y,-z'
'-y+1/2,x,z'
'y+1/2,-x,-z'
'-x+1/2,-y+1/2,z'
'x+1/2,y+1/2,-z'
'y,-x+1/2,z'
'-y,x+1/2,-z'
'x+1/2,-y,-z'
'-x+1/2,y,z'
'-y,-x,-z'
'y,x,z'
'-x,y+1/2,-z'
'x,-y+1/2,z'
'y+1/2,x+1/2,-z'
'-y+1/2,-x+1/2,z'
loop_
_atom_site_label
_atom_site_type_symbol
_atom_site_fract_x
_atom_site_fract_y
_atom_site_fract_z
_atom_site_occupancy
Sc1 Sc 0.2500 0.2500 0.1199 1
Br1 Br 0.2500 0.2500 0.7101 1
```


Entry 5:
# ScBr3 PBE relaxed
# DOS(E_F) (states/eV per atom): 0.693
data_ScBr3
_chemical_formula_sum 'Sc3 Br9'
_cell_length_a 9.6340
_cell_length_b 9.6340
_cell_length_c 3.9267
_cell_angle_alpha 90.00
_cell_angle_beta 90.00
_cell_angle_gamma 120.00
_symmetry_space_group_name_H-M 'R -3 m'
_symmetry_Int_Tables_number 166
_symmetry_space_group_name_Hall '-R 3 2"'
loop_
_atom_site_label
_atom_site_type_symbol
_atom_site_fract_x
_atom_site_fract_y
_atom_site_fract_z
_atom_site_occupancy
Sc1 Sc 0.0000 0.0000 0.0000 1
Br1 Br 0.0000 0.5000 0.0000 1


Entry 6:
# ScBr PBE relaxed
# DOS(E_F) (states/eV per atom): 0.827
data_ScBr
_chemical_formula_sum 'Sc16 Br16'
_cell_length_a 8.1359
_cell_length_b 8.1688
_cell_length_c 10.7652
_cell_angle_alpha 90.00
_cell_angle_beta 90.00
_cell_angle_gamma 90.00
_symmetry_space_group_name_H-M 'F d d d'
_symmetry_Int_Tables_number 70
loop_
_symmetry_equiv_pos_as_xyz
'x,y,z'
'-x,-y,-z'
'-x+1/4,-y+1/4,z'
'x+1/4,y+1/4,-z'
'x,-y+1/4,-z+1/4'
'-x,y+1/4,z+1/4'
'-x+1/4,y,-z+1/4'
'x+1/4,-y,z+1/4'
'x,y+1/2,z+1/2'
'-x,-y+1/2,-z+1/2'
'-x+1/4,-y+3/4,z+1/2'
'x+1/4,y+3/4,-z+1/2'
'x,-y+3/4,-z+3/4'
'-x,y+3/4,z+3/4'
'-x+1/4,y+1/2,-z+3/4'
'x+1/4,-y+1/2,z+3/4'
'x+1/2,y,z+1/2'
'-x+1/2,-y,-z+1/2'
'-x+3/4,-y+1/4,z+1/2'
'x+3/4,y+1/4,-z+1/2'
'x+1/2,-y+1/4,-z+3/4'
'-x+1/2,y+1/4,z+3/4'
'-x+3/4,y,-z+3/4'
'x+3/4,-y,z+3/4'
'x+1/2,y+1/2,z'
'-x+1/2,-y+1/2,-z'
'-x+3/4,-y+3/4,z'
'x+3/4,y+3/4,-z'
'x+1/2,-y+3/4,-z+1/4'
'-x+1/2,y+3/4,z+1/4'
'-x+3/4,y+1/2,-z+1/4'
'x+3/4,-y+1/2,z+1/4'
loop_
_atom_site_label
_atom_site_type_symbol
_atom_site_fract_x
_atom_site_fract_y
_atom_site_fract_z
_atom_site_occupancy
Sc1 Sc 0.1250 0.3077 0.1250 1
Br1 Br 0.0792 0.3750 0.8750 1


Entry 7:
# ScBr3 PBE relaxed
# DOS(E_F) (states/eV per atom): 0.968
data_ScBr3
_chemical_formula_sum 'Sc3 Br9'
_cell_length_a 3.9064
_cell_length_b 3.9064
_cell_length_c 36.1844
_cell_angle_alpha 90.00
_cell_angle_beta 90.00
_cell_angle_gamma 120.00
_symmetry_space_group_name_H-M 'R -3 m'
_symmetry_Int_Tables_number 166
_symmetry_space_group_name_Hall '-R 3 2"'
loop_
_atom_site_label
_atom_site_type_symbol
_atom_site_fract_x
_atom_site_fract_y
_atom_site_fract_z
_atom_site_occupancy
Sc1 Sc 0.0000 0.0000 0.0000 1
Br1 Br 0.0000 0.0000 0.0665 1
Br2 Br 0.0000 0.0000 0.5000 1


Entry 8:
# ScBr PBE relaxed
# DOS(E_F) (states/eV per atom): 0.747
data_ScBr
_chemical_formula_sum 'Sc6 Br6'
_cell_length_a 3.5524
_cell_length_b 9.0500
_cell_length_c 9.3119
_cell_angle_alpha 90.00
_cell_angle_beta 90.00
_cell_angle_gamma 90.00
_symmetry_space_group_name_H-M 'A m m 2'
_symmetry_Int_Tables_number 38
loop_
_symmetry_equiv_pos_as_xyz
'x,y,z'
'-x,-y,z'
'-x,y,z'
'x,-y,z'
'x,y+1/2,z+1/2'
'-x,-y+1/2,z+1/2'
'-x,y+1/2,z+1/2'
'x,-y+1/2,z+1/2'
loop_
_atom_site_label
_atom_site_type_symbol
_atom_site_fract_x
_atom_site_fract_y
_atom_site_fract_z
_atom_site_occupancy
Sc1 Sc 0.0000 0.0000 0.0000 1
Sc2 Sc 0.5000 0.1679 0.2329 1
Br1 Br 0.0000 0.1985 0.4766 1
Br2 Br 0.5000 0.0000 0.7670 1


Entry 9:
# ScBr PBE relaxed
# DOS(E_F) (states/eV per atom): 0.958
data_ScBr
_chemical_formula_sum 'Sc4 Br4'
_cell_length_a 3.3484
_cell_length_b 5.1152
_cell_length_c 10.8711
_cell_angle_alpha 90.00
_cell_angle_beta 90.00
_cell_angle_gamma 90.00
_symmetry_space_group_name_H-M 'I m m a'
_symmetry_Int_Tables_number 74
_symmetry_space_group_name_Hall '-I 2b 2'
loop_
_atom_site_label
_atom_site_type_symbol
_atom_site_fract_x
_atom_site_fract_y
_atom_site_fract_z
_atom_site_occupancy
Sc1 Sc 0.0000 0.2500 0.1197 1
Br1 Br 0.0000 0.2500 0.5998 1


Entry 10:
# ScBr PBE relaxed
# DOS(E_F) (states/eV per atom): 0.482
data_ScBr
_chemical_formula_sum 'Sc2 Br2'
_cell_length_a 3.5191
_cell_length_b 3.5191
_cell_length_c 9.2696
_cell_angle_alpha 90.00
_cell_angle_beta 90.00
_cell_angle_gamma 120.00
_symmetry_space_group_name_H-M 'P 63 m c'
_symmetry_Int_Tables_number 186
_symmetry_space_group_name_Hall 'P 6c -2c'
loop_
_atom_site_label
_atom_site_type_symbol
_atom_site_fract_x
_atom_site_fract_y
_atom_site_fract_z
_atom_site_occupancy
Sc1 Sc 0.3333 0.6667 0.0000 1
Br1 Br 0.3333 0.6667 0.2937 1


Entry 11:
# ScBr PBE relaxed
# DOS(E_F) (states/eV per atom): 1.093
data_ScBr
_chemical_formula_sum 'Sc4 Br4'
_cell_length_a 10.0050
_cell_length_b 3.5419
_cell_length_c 5.4482
_cell_angle_alpha 90.00
_cell_angle_beta 105.03
_cell_angle_gamma 90.00
_symmetry_space_group_name_H-M 'C 1 m 1'
_symmetry_Int_Tables_number 8
loop_
_symmetry_equiv_pos_as_xyz
'x,y,z'
'x,-y,z'
'x+1/2,y+1/2,z'
'x+1/2,-y+1/2,z'
loop_
_atom_site_label
_atom_site_type_symbol
_atom_site_fract_x
_atom_site_fract_y
_atom_site_fract_z
_atom_site_occupancy
Sc1 Sc 0.0000 0.0000 0.0000 1
Sc2 Sc 0.1312 0.5000 0.5163 1
Br1 Br 0.2592 0.0000 0.8994 1
Br2 Br 0.4107 0.5000 0.4565 1


Entry 12:
# ScBr3 PBE relaxed
# DOS(E_F) (states/eV per atom): 0.664
data_ScBr3
_chemical_formula_sum 'Sc1 Br3'
_cell_length_a 3.3620
_cell_length_b 3.3620
_cell_length_c 9.4362
_cell_angle_alpha 90.00
_cell_angle_beta 90.00
_cell_angle_gamma 90.00
_symmetry_space_group_name_H-M 'P 4/m m m'
_symmetry_Int_Tables_number 123
_symmetry_space_group_name_Hall '-P 4 2'
loop_
_atom_site_label
_atom_site_type_symbol
_atom_site_fract_x
_atom_site_fract_y
_atom_site_fract_z
_atom_site_occupancy
Sc1 Sc 0.0000 0.0000 0.0000 1
Br1 Br 0.0000 0.0000 0.5000 1
Br2 Br 0.5000 0.5000 0.1731 1


Listing formation energy (no corrections) for the structures above in their given order: -0.46; 0.09; -1.11; -1.07; -0.48; -0.70; -0.36; -0.91; -0.68; -0.83; -0.84; -0.96 eV/atom.